Tl8As2Se: relaxed, PBE-GGA.

Results
E_form (uncorrected) in eV/atom: -0.084
M_tot in μB/f.u.: 0.00
Crystal system: monoclinic

```
data_Tl8As2Se
_space_group_name_H-M_alt 'C 1 2/m 1'
_space_group_IT_number 12
_cell_length_a 20.883
_cell_length_b 4.338
_cell_length_c 7.762
_cell_angle_alpha 90.00
_cell_angle_beta 91.68
_cell_angle_gamma 90.00
loop_
_space_group_symop_operation_xyz
'x,y,z'
'-x,-y,-z'
'-x,y,-z'
'x,-y,z'
'x+1/2,y+1/2,z'
'-x+1/2,-y+1/2,-z'
'-x+1/2,y+1/2,-z'
'x+1/2,-y+1/2,z'
loop_
_atom_site_label
_atom_site_type_symbol
_atom_site_fract_x
_atom_site_fract_y
_atom_site_fract_z
Tl1 Tl 0.009 0.000 0.272
Tl2 Tl 0.110 0.500 0.521
Tl3 Tl 0.146 0.500 0.008
Tl4 Tl 0.226 0.000 0.700
As1 As 0.169 0.000 0.306
Se1 Se 0.000 0.500 0.000
```